# 1
Compound: Tm3BC3
Source: Alexandria
Functional: PBE
Structure: relaxed

## Properties
The value obtained for the energy relative to the elements is -0.202 eV/atom. The calculation puts the relative energy among the computed polymorphs at 184 meV/atom. The value obtained for the electronic total energy is -7.025 eV/atom.

Geometry as CIF:
```
data_Tm3BC3
_chemical_formula_sum 'Tm12 B4 C12'
_cell_length_a 7.924
_cell_length_b 10.142
_cell_length_c 4.970
_cell_angle_alpha 90.00
_cell_angle_beta 90.00
_cell_angle_gamma 90.00
_symmetry_space_group_name_H-M 'C m c m'
_symmetry_Int_Tables_number 63
_symmetry_space_group_name_Hall '-C 2c 2'
loop_
_atom_site_label
_atom_site_fract_x
_atom_site_fract_y
_atom_site_fract_z
Tm1 0.000 0.104 0.250
Tm2 0.215 0.374 0.250
B1 0.000 0.291 0.750
C1 0.000 0.121 0.750
C2 0.186 0.362 0.750
```

# 2
Compound: VAgP2Cl
Source: Alexandria
Functional: PBE
Structure: relaxed

## Properties
The calculation puts the relative energy among the computed polymorphs at 0 meV/atom. Its formation energy (no corrections) is 0.187 eV per atom. The value obtained for the electronic total energy is -4.740 eV/atom.

Geometry as CIF:
```
data_VAgP2Cl
_chemical_formula_sum 'V1 Ag1 P2 Cl1'
_cell_length_a 4.503
_cell_length_b 4.503
_cell_length_c 5.023
_cell_angle_alpha 90.00
_cell_angle_beta 90.00
_cell_angle_gamma 90.00
_symmetry_space_group_name_H-M 'P 4/m m m'
_symmetry_Int_Tables_number 123
_symmetry_space_group_name_Hall '-P 4 2'
loop_
_atom_site_label
_atom_site_fract_x
_atom_site_fract_y
_atom_site_fract_z
V1 0.000 0.000 0.000
Ag1 0.500 0.500 0.500
P1 0.000 0.500 0.000
Cl1 0.000 0.000 0.500
```

# 3
Compound: TlGe5P4
Source: Alexandria
Functional: PBE
Structure: relaxed

## Properties
The value obtained for the energy relative to the elements is 0.169 eV/atom. The value obtained for the electronic total energy is -4.541 eV/atom.

Geometry as CIF:
```
data_TlGe5P4
_chemical_formula_sum 'Tl2 Ge10 P8'
_cell_length_a 7.218
_cell_length_b 10.508
_cell_length_c 5.756
_cell_angle_alpha 90.00
_cell_angle_beta 90.00
_cell_angle_gamma 90.00
_symmetry_space_group_name_H-M 'P m m n'
_symmetry_Int_Tables_number 59
loop_
_symmetry_equiv_pos_as_xyz
'x,y,z'
'-x,-y,-z'
'-x+1/2,-y+1/2,z'
'x+1/2,y+1/2,-z'
'x+1/2,-y,-z'
'-x+1/2,y,z'
'-x,y+1/2,-z'
'x,-y+1/2,z'
loop_
_atom_site_label
_atom_site_fract_x
_atom_site_fract_y
_atom_site_fract_z
Tl1 0.250 0.250 0.124
Ge1 0.039 0.544 0.286
Ge2 0.250 0.750 0.675
P1 0.022 0.250 0.554
P2 0.250 0.553 0.907
```

# 4
Compound: TlSb2Pb
Source: Alexandria
Functional: PBE
Structure: relaxed

## Properties
Its formation energy (no corrections) is 0.088 eV per atom. The value obtained for the electronic total energy is -3.491 eV/atom.

Geometry as CIF:
```
data_TlSb2Pb
_chemical_formula_sum 'Tl2 Sb4 Pb2'
_cell_length_a 6.670
_cell_length_b 10.585
_cell_length_c 3.387
_cell_angle_alpha 90.00
_cell_angle_beta 90.55
_cell_angle_gamma 90.00
_symmetry_space_group_name_H-M 'C 1 2/m 1'
_symmetry_Int_Tables_number 12
_symmetry_space_group_name_Hall '-C 2y'
loop_
_atom_site_label
_atom_site_fract_x
_atom_site_fract_y
_atom_site_fract_z
Tl1 0.000 0.000 0.000
Sb1 0.250 0.250 0.500
Pb1 0.000 0.500 0.000
```

# 5
Compound: Er2TmOs
Source: Alexandria
Functional: PBE
Structure: relaxed

## Properties
The value obtained for the energy relative to the elements is -0.132 eV/atom. The calculation puts the relative energy among the computed polymorphs at 169 meV/atom. The value obtained for the electronic total energy is -6.338 eV/atom.

Geometry as CIF:
```
data_Er2TmOs
_chemical_formula_sum 'Er2 Tm1 Os1'
_cell_length_a 3.368
_cell_length_b 3.368
_cell_length_c 9.104
_cell_angle_alpha 90.00
_cell_angle_beta 90.00
_cell_angle_gamma 90.00
_symmetry_space_group_name_H-M 'P 4/m m m'
_symmetry_Int_Tables_number 123
_symmetry_space_group_name_Hall '-P 4 2'
loop_
_atom_site_label
_atom_site_fract_x
_atom_site_fract_y
_atom_site_fract_z
Er1 0.000 0.000 0.181
Tm1 0.500 0.500 0.500
Os1 0.500 0.500 0.000
```

# 6
Compound: Th3MgSn5
Source: Alexandria
Functional: PBE
Structure: relaxed

## Properties
The value obtained for the energy relative to the elements is -0.473 eV/atom. The value obtained for the electronic total energy is -5.347 eV/atom.

Geometry as CIF:
```
data_Th3MgSn5
_chemical_formula_sum 'Th6 Mg2 Sn10'
_cell_length_a 9.4804
_cell_length_b 9.4804
_cell_length_c 6.3549
_cell_angle_alpha 90.00
_cell_angle_beta 90.00
_cell_angle_gamma 120.00
_symmetry_space_group_name_H-M 'P 63/m c m'
_symmetry_Int_Tables_number 193
_symmetry_space_group_name_Hall '-P 6c 2'
loop_
_atom_site_label
_atom_site_fract_x
_atom_site_fract_y
_atom_site_fract_z
Th1 0.0000 0.3820 0.2500
Mg1 0.0000 0.0000 0.0000
Sn1 0.0000 0.2737 0.7500
Sn2 0.3333 0.6667 0.0000
```

# 7
Compound: Y3HgC
Source: Alexandria
Functional: PBE
Structure: relaxed

## Properties
The value obtained for the energy relative to the elements is -0.322 eV/atom. The calculation puts the relative energy among the computed polymorphs at 106 meV/atom. The value obtained for the electronic total energy is -6.106 eV/atom.

Geometry as CIF:
```
data_Y3HgC
_chemical_formula_sum 'Y12 Hg4 C4'
_cell_length_a 5.070
_cell_length_b 12.602
_cell_length_c 7.529
_cell_angle_alpha 90.00
_cell_angle_beta 90.00
_cell_angle_gamma 90.00
_symmetry_space_group_name_H-M 'C m c m'
_symmetry_Int_Tables_number 63
_symmetry_space_group_name_Hall '-C 2c 2'
loop_
_atom_site_label
_atom_site_fract_x
_atom_site_fract_y
_atom_site_fract_z
Y1 0.000 0.042 0.250
Y2 0.000 0.370 0.024
Hg1 0.000 0.197 0.750
C1 0.000 0.482 0.750
```

# 8
Compound: CdSiAg2
Source: Alexandria
Functional: PBE
Structure: relaxed

## Properties
The calculation puts the relative energy among the computed polymorphs at 63 meV/atom. Its formation energy (no corrections) is 0.186 eV per atom. The value obtained for the electronic total energy is -2.824 eV/atom.

Geometry as CIF:
```
data_CdSiAg2
_chemical_formula_sum 'Cd3 Si3 Ag6'
_cell_length_a 2.9841
_cell_length_b 2.9841
_cell_length_c 28.5230
_cell_angle_alpha 90.00
_cell_angle_beta 90.00
_cell_angle_gamma 120.00
_symmetry_space_group_name_H-M 'R 3 m'
_symmetry_Int_Tables_number 160
_symmetry_space_group_name_Hall 'R 3 -2"'
loop_
_atom_site_label
_atom_site_fract_x
_atom_site_fract_y
_atom_site_fract_z
Cd1 0.0000 0.0000 0.0000
Si1 0.0000 0.0000 0.7575
Ag1 0.0000 0.0000 0.2480
Ag2 0.0000 0.0000 0.4988
```